VASP calculation (SCAN) on a PBEsol-optimized structure of BeAu2Cl.

```
BeAu2Cl
1.0
4.5383 0.0000 0.0000
0.0000 3.0097 0.0000
-0.4951 0.0000 6.3313
Be Au Cl
1 2 1
direct
0.0000 0.0000 0.0000 Be
0.1138 0.5000 0.7232 Au
0.6106 0.0000 0.7378 Au
0.0248 0.5000 0.2142 Cl
```

Values from the calculation:
Polymorph energy (0 for the lowest one) in kJ/mol of atoms: 0.00
Raw formation energy in meV per atom: -431
Space-group type: No. 6

VASP calculation (SCAN) on a PBEsol-optimized structure of BeAu2Cl.

```
BeAu2Cl
1.0
2.9387 0.0000 0.0000
0.0000 2.9387 0.0000
0.0000 0.0000 7.1820
Be Au Cl
1 2 1
direct
0.0000 0.0000 0.0000 Be
0.5000 0.5000 0.2017 Au
0.5000 0.5000 0.7983 Au
0.0000 0.0000 0.5000 Cl
```

Values from the calculation:
Polymorph energy (0 for the lowest one) in kJ/mol of atoms: 40.88
Raw formation energy in meV per atom: -8
Space-group type: No. 123

VASP calculation (SCAN) on a PBEsol-optimized structure of KBe2AuCl.

```
KBe2AuCl
1.0
4.3742 0.0000 0.0000
0.0000 4.3742 0.0000
0.0000 0.0000 5.3618
K Be Au Cl
1 2 1 1
direct
0.0000 0.0000 0.0000 K
0.0000 0.5000 0.5000 Be
0.5000 0.0000 0.5000 Be
0.5000 0.5000 0.0000 Au
0.0000 0.0000 0.5000 Cl
```

Values from the calculation:
Raw formation energy in meV per atom: 721
Space-group type: No. 123

VASP calculation (SCAN) on a PBEsol-optimized structure of BeCo2Au.

```
BeCo2Au
1.0
2.4101 -3.6671 0.0000
2.4101 3.6671 0.0000
0.0000 0.0000 2.6718
Be Co Au
1 2 1
direct
0.0000 0.0000 0.0000 Be
0.0000 0.5000 0.5000 Co
0.5000 0.0000 0.5000 Co
0.5000 0.5000 0.0000 Au
```

Values from the calculation:
Space-group type: No. 65
Formation energy from the elements in eV per formula unit: 0.7

VASP calculation (SCAN) on a PBEsol-optimized structure of BeCo2Au.

```
BeCo2Au
1.0
-1.6799 1.6799 8.7840
1.6799 -1.6799 8.7840
1.6799 1.6799 -8.7840
Be Co Au
2 4 2
direct
0.0000 0.0000 0.0000 Be
0.7500 0.2500 0.5000 Be
0.0941 0.6250 0.9691 Co
0.3750 0.3441 0.4691 Co
0.6559 0.1250 0.0309 Co
0.8750 0.9059 0.5309 Co
0.2500 0.7500 0.5000 Au
0.5000 0.5000 0.0000 Au
```

Values from the calculation:
Space-group type: No. 122
Formation energy from the elements in eV per formula unit: 1.0

VASP calculation (SCAN) on a PBEsol-optimized structure of BeCo4Au.

```
BeCo4Au
1.0
0.0000 3.2774 3.2774
3.2774 0.0000 3.2774
3.2774 3.2774 0.0000
Be Co Au
1 4 1
direct
0.0000 0.0000 0.0000 Be
0.1239 0.6254 0.6254 Co
0.6254 0.1239 0.6254 Co
0.6254 0.6254 0.1239 Co
0.6254 0.6254 0.6254 Co
0.2500 0.2500 0.2500 Au
```

Values from the calculation:
Space-group type: No. 216
Formation energy from the elements in eV per formula unit: 1.5

VASP calculation (SCAN) on a PBEsol-optimized structure of Be4CoAu.

```
Be4CoAu
1.0
0.0000 3.0371 3.0371
3.0371 0.0000 3.0371
3.0371 3.0371 0.0000
Be Co Au
4 1 1
direct
0.3762 0.3762 0.3762 Be
0.3762 0.3762 0.8715 Be
0.3762 0.8715 0.3762 Be
0.8715 0.3762 0.3762 Be
0.7500 0.7500 0.7500 Co
0.0000 0.0000 0.0000 Au
```

Values from the calculation:
Space-group type: No. 216
Formation energy from the elements in eV per formula unit: -1.4

VASP calculation (SCAN) on a PBEsol-optimized structure of BeCo2Au.

```
BeCo2Au
1.0
-1.7326 1.7326 3.8473
1.7326 -1.7326 3.8473
1.7326 1.7326 -3.8473
Be Co Au
1 2 1
direct
0.0000 0.0000 0.0000 Be
0.2500 0.7500 0.5000 Co
0.7500 0.2500 0.5000 Co
0.5000 0.5000 0.0000 Au
```

Values from the calculation:
Space-group type: No. 139
Formation energy from the elements in eV per formula unit: 0.0

VASP calculation (SCAN) on a PBEsol-optimized structure of BeCoAu3.

```
BeCoAu3
1.0
4.6364 0.0000 0.0000
0.0000 4.6364 0.0000
0.0000 0.0000 4.6364
Be Co Au
1 1 3
direct
0.0000 0.0000 0.0000 Be
0.5000 0.5000 0.5000 Co
0.0000 0.5000 0.5000 Au
0.5000 0.0000 0.5000 Au
0.5000 0.5000 0.0000 Au
```

Values from the calculation:
Space-group type: No. 221
Formation energy from the elements in eV per formula unit: 5.6

VASP calculation (SCAN) on a PBEsol-optimized structure of Be2CrAu.

```
Be2CrAu
1.0
2.6995 0.0000 0.0000
0.0000 2.6995 0.0000
0.0000 0.0000 6.0817
Be Cr Au
2 1 1
direct
0.0000 0.0000 0.0000 Be
0.5000 0.5000 0.1825 Be
0.0000 0.0000 0.4138 Cr
0.5000 0.5000 0.7426 Au
```

Values from the calculation:
Space-group type: No. 99
Formation energy from the elements in eV per formula unit: 0.1

VASP calculation (SCAN) on a PBEsol-optimized structure of Be2CrAu.

```
Be2CrAu
1.0
3.6096 0.0000 0.0000
0.0000 1.4727 4.2472
0.0000 -1.4727 4.2472
Be Cr Au
2 1 1
direct
0.0000 0.0000 0.0000 Be
0.5000 0.1436 0.1436 Be
0.5000 0.4285 0.4285 Cr
0.0000 0.7243 0.7243 Au
```

Values from the calculation:
Space-group type: No. 38
Formation energy from the elements in eV per formula unit: -0.7

VASP calculation (SCAN) on a PBEsol-optimized structure of Be2CrAu.

```
Be2CrAu
1.0
-1.7756 1.7756 3.7364
1.7756 -1.7756 3.7364
1.7756 1.7756 -3.7364
Be Cr Au
2 1 1
direct
0.0000 0.0000 0.0000 Be
0.7500 0.2500 0.5000 Be
0.5000 0.5000 0.0000 Cr
0.2500 0.7500 0.5000 Au
```

Values from the calculation:
Space-group type: No. 119
Formation energy from the elements in eV per formula unit: -0.2

VASP calculation (SCAN) on a PBEsol-optimized structure of BeCrAu2.

```
BeCrAu2
1.0
2.7486 0.0000 0.0000
0.0000 2.7486 0.0000
0.0000 0.0000 7.0407
Be Cr Au
1 1 2
direct
0.0000 0.0000 0.0000 Be
0.5000 0.5000 0.2034 Cr
0.0000 0.0000 0.4644 Au
0.5000 0.5000 0.7917 Au
```

Values from the calculation:
Space-group type: No. 99
Formation energy from the elements in eV per formula unit: 0.0

VASP calculation (SCAN) on a PBEsol-optimized structure of BeCrGa2Au.

```
BeCrGa2Au
1.0
4.8071 0.0000 0.0000
0.0000 4.8071 0.0000
0.0000 0.0000 4.3487
Be Cr Ga Au
1 1 2 1
direct
0.0000 0.0000 0.0000 Be
0.5000 0.5000 0.0000 Cr
0.0000 0.5000 0.5000 Ga
0.5000 0.0000 0.5000 Ga
0.0000 0.0000 0.5000 Au
```

Values from the calculation:
Space-group type: No. 123
Formation energy from the elements in eV per formula unit: 2.4

VASP calculation (SCAN) on a PBEsol-optimized structure of Cs2BeAu.

```
Cs2BeAu
1.0
0.0000 4.1768 4.1768
4.1768 0.0000 4.1768
4.1768 4.1768 0.0000
Cs Be Au
2 1 1
direct
0.2500 0.2500 0.2500 Cs
0.7500 0.7500 0.7500 Cs
0.0000 0.0000 0.0000 Be
0.5000 0.5000 0.5000 Au
```

Values from the calculation:
Space-group type: No. 225
Formation energy from the elements in eV per formula unit: 1.8